VASP calculation (PBE) on a geometry-optimized K3NaPu2O9 structure.

Output
ΔE_f (raw) = -2.1846 eV per atom

```
K3NaPu2O9
1.0
-1.536 -5.800 0.921
5.262 2.125 2.154
-3.400 1.919 6.413
O K Na Pu
9 3 1 2
direct
0.500 0.500 0.000
0.817 0.183 0.692
0.635 0.817 0.308
0.500 0.000 0.000
0.817 0.635 0.692
0.183 0.365 0.308
0.365 0.183 0.692
0.000 0.500 0.000
0.183 0.817 0.308
0.333 0.667 0.649
0.667 0.333 0.351
0.000 0.000 0.000
0.000 0.000 0.500
0.667 0.333 0.840
0.333 0.667 0.160
```